[1]
DFT (PBE) results for a relaxed AcPmGa crystal.

Output
For the energy above the most stable polymorph in this dataset, the calculation gives 198 meV/atom. As for the space group: P3m1 (156).

Unit cell a=3.9093 b=3.9093 c=7.7148 alpha=90.00 beta=90.00 gamma=120.00
With the nearest neighbours (Å) after each atom.
Fractional positions:
Ac (0.3333, 0.6667, 0.6252)  3 Ga 3.25
Ga (0.6667, 0.3333, 0.3218)  3 Pm 3.06, 3 Ac 3.25
Pm (0.0000, 0.0000, 0.0531)  3 Ga 3.06

***

[2]
DFT (PBE) results for a relaxed Ac4PmGa5 crystal.

Output
As for the space group: P4/mmm (123).

Unit cell a=3.8727 b=3.8727 c=19.4110 alpha=90.00 beta=90.00 gamma=90.00
With the nearest neighbours (Å) after each atom.
Fractional positions:
Ac (0.0000, 0.0000, 0.1921)  8 Ga 3.38-3.44, 1 Pm 3.73
Ac (0.0000, 0.0000, 0.3970)  8 Ga 3.39
Ac (0.0000, 0.0000, 0.6030)  8 Ga 3.39
Ac (0.0000, 0.0000, 0.8079)  8 Ga 3.38-3.44, 1 Pm 3.73
Pm (0.0000, 0.0000, 0.0000)  8 Ga 3.19
Ga (0.5000, 0.5000, 0.0845)  4 Pm 3.19, 1 Ga 3.28, 4 Ac 3.44
Ga (0.5000, 0.5000, 0.2943)  8 Ac 3.38-3.39
Ga (0.5000, 0.5000, 0.5000)  8 Ac 3.39
Ga (0.5000, 0.5000, 0.7057)  8 Ac 3.38-3.39
Ga (0.5000, 0.5000, 0.9155)  4 Pm 3.19, 1 Ga 3.28, 4 Ac 3.44

***

[3]
DFT (PBE) results for a relaxed AcPmGa crystal.

Output
For the energy above the most stable polymorph in this dataset, the calculation gives 0 meV/atom. As for the space group: P4/nmm (129).

Unit cell a=4.8565 b=4.8566 c=8.1541 alpha=90.00 beta=90.00 gamma=90.01
With the nearest neighbours (Å) after each atom.
Fractional positions:
Ac (0.8135, 0.8664, 0.5588)  5 Ga 3.21-3.56
Ac (0.3137, 0.3665, 0.2804)  5 Ga 3.21-3.56
Pm (0.8136, 0.3665, 0.9196)  4 Ga 3.15, 4 Pm 3.43
Pm (0.3136, 0.8665, 0.9196)  4 Ga 3.15, 4 Pm 3.43
Ga (0.8136, 0.8665, 0.1650)  4 Pm 3.15, 1 Ac 3.21
Ga (0.3135, 0.3664, 0.6742)  4 Pm 3.15, 1 Ac 3.21

***

[4]
DFT (PBE) results for a relaxed Ac2PmGa2 crystal.

Output
For the energy above the most stable polymorph in this dataset, the calculation gives 22 meV/atom. As for the space group: Immm (71).

Unit cell a=4.7483 b=6.4572 c=6.4519 alpha=64.14 beta=68.41 gamma=68.43
With the nearest neighbours (Å) after each atom.
Fractional positions:
Ac (0.6990, 0.8005, 0.3014)  6 Ga 3.39-3.59
Ac (0.3010, 0.1995, 0.6986)  6 Ga 3.39-3.59
Pm (0.5000, 0.5000, 0.0000)  4 Ga 3.11
Ga (0.0003, 0.2056, 0.2937)  1 Ga 2.82, 2 Pm 3.11
Ga (0.9997, 0.7944, 0.7063)  1 Ga 2.82, 2 Pm 3.11

***

[5]
DFT (PBE) results for a relaxed AcPmGa4 crystal.

Output
For the energy above the most stable polymorph in this dataset, the calculation gives 30 meV/atom. As for the space group: I-4m2 (119).

Unit cell a=4.3910 b=4.3910 c=8.1805 alpha=105.57 beta=105.57 gamma=90.00
With the nearest neighbours (Å) after each atom.
Fractional positions:
Ac (0.2500, 0.7500, 0.5000)  12 Ga 3.37
Pm (0.0000, 0.0000, 0.0000)  12 Ga 3.31-3.34
Ga (0.6637, 0.1637, 0.3274)  3 Ga 2.53-2.61
Ga (0.5810, 0.5810, 0.1619)  3 Ga 2.45-2.53
Ga (0.8363, 0.3363, 0.6726)  3 Ga 2.53-2.61
Ga (0.4190, 0.4190, 0.8381)  3 Ga 2.45-2.53

***

[6]
DFT (PBE) results for a relaxed AcPmGa crystal.

Output
For the energy above the most stable polymorph in this dataset, the calculation gives 66 meV/atom. As for the space group: I4mm (107).

Unit cell a=3.8205 b=3.8205 c=7.0930 alpha=105.62 beta=105.62 gamma=90.00
With the nearest neighbours (Å) after each atom.
Fractional positions:
Ac (0.0200, 0.0200, 0.0400)  4 Ga 3.41, 1 Pm 3.70
Ga (0.6783, 0.6783, 0.3565)  4 Pm 3.15, 4 Ac 3.41
Pm (0.3017, 0.3017, 0.6034)  4 Ga 3.15

***

[7]
DFT (PBE) results for a relaxed Ac2PmGa2 crystal.

Output
For the energy above the most stable polymorph in this dataset, the calculation gives 0 meV/atom. As for the space group: C2/m (12).

Unit cell a=4.9711 b=6.7944 c=10.3343 alpha=82.29 beta=76.08 gamma=68.54
With the nearest neighbours (Å) after each atom.
Fractional positions:
Ac (0.3098, 0.2823, 0.0980)  4 Ga 3.25-3.53
Ac (0.4848, 0.3513, 0.6791)  6 Ga 3.41-3.56, 4 Pm 3.64-3.81
Ac (0.6902, 0.7177, 0.9020)  4 Ga 3.25-3.53
Ac (0.5152, 0.6487, 0.3209)  6 Ga 3.41-3.56, 4 Pm 3.64-3.81
Pm (0.7906, 0.0639, 0.3549)  4 Ga 3.06-3.13
Pm (0.2094, 0.9361, 0.6451)  4 Ga 3.06-3.13
Ga (0.9665, 0.1583, 0.9086)  1 Ga 2.64
Ga (0.1267, 0.3147, 0.4319)  1 Ga 2.77, 2 Pm 3.07
Ga (0.0335, 0.8417, 0.0914)  1 Ga 2.64
Ga (0.8733, 0.6853, 0.5681)  1 Ga 2.77, 2 Pm 3.07

***

[8]
DFT (PBE) results for a relaxed AcPm4Ga5 crystal.

Output
As for the space group: P4/mmm (123).

Unit cell a=3.7146 b=3.7146 c=18.6432 alpha=90.00 beta=90.00 gamma=90.00
With the nearest neighbours (Å) after each atom.
Fractional positions:
Ac (0.0000, 0.0000, 0.0000)  8 Ga 3.38, 4 Ac 3.71
Pm (0.0000, 0.0000, 0.2083)  8 Ga 3.16-3.20
Pm (0.0000, 0.0000, 0.4029)  8 Ga 3.18-3.19
Pm (0.0000, 0.0000, 0.5971)  8 Ga 3.18-3.19
Pm (0.0000, 0.0000, 0.7917)  8 Ga 3.16-3.20
Ga (0.5000, 0.5000, 0.1143)  4 Pm 3.16, 4 Ac 3.38
Ga (0.5000, 0.5000, 0.3066)  8 Pm 3.18-3.20
Ga (0.5000, 0.5000, 0.5000)  8 Pm 3.19
Ga (0.5000, 0.5000, 0.6934)  8 Pm 3.18-3.20
Ga (0.5000, 0.5000, 0.8857)  4 Pm 3.16, 4 Ac 3.38

***

[9]
DFT (PBE) results for a relaxed AcPmGa4 crystal.

Output
For the energy above the most stable polymorph in this dataset, the calculation gives 171 meV/atom. As for the space group: F-43m (216).

Unit cell a=5.7522 b=5.7522 c=5.7522 alpha=60.00 beta=60.00 gamma=60.00
With the nearest neighbours (Å) after each atom.
Fractional positions:
Ac (0.2500, 0.2500, 0.2500)  12 Ga 3.37, 4 Pm 3.52
Ga (0.6253, 0.6253, 0.1241)  6 Ga 2.87-2.88
Ga (0.6253, 0.1241, 0.6253)  6 Ga 2.87-2.88
Ga (0.6253, 0.6253, 0.6253)  6 Ga 2.87-2.88
Ga (0.1241, 0.6253, 0.6253)  6 Ga 2.87-2.88
Pm (0.0000, 0.0000, 0.0000)  12 Ga 3.37, 4 Ac 3.52

***

[10]
DFT (PBE) results for a relaxed Ac3Pm4Ga4 crystal.

Output
As for the space group: I-43m (217).

Unit cell a=7.8703 b=7.8703 c=7.8703 alpha=109.47 beta=109.47 gamma=109.47
With the nearest neighbours (Å) after each atom.
Fractional positions:
Ac (0.5000, 0.5000, 0.0000)  4 Ga 3.72, 4 Pm 3.74
Ac (0.5000, 0.0000, 0.5000)  4 Ga 3.72, 4 Pm 3.74
Ac (0.0000, 0.5000, 0.5000)  4 Ga 3.72, 4 Pm 3.74
Pm (0.0000, 0.2739, 0.0000)  4 Ga 2.83-2.97
Pm (0.0000, 0.0000, 0.2739)  4 Ga 2.83-2.97
Pm (0.2739, 0.0000, 0.0000)  4 Ga 2.83-2.97
Pm (0.7261, 0.7261, 0.7261)  4 Ga 2.83-2.97
Ga (0.0000, 0.6329, 0.0000)  4 Pm 2.83-2.97
Ga (0.6329, 0.0000, 0.0000)  4 Pm 2.83-2.97
Ga (0.0000, 0.0000, 0.6329)  4 Pm 2.83-2.97
Ga (0.3671, 0.3671, 0.3671)  4 Pm 2.83-2.97

***

[11]
DFT (PBE) results for a relaxed AcPmGa4 crystal.

Output
For the energy above the most stable polymorph in this dataset, the calculation gives 0 meV/atom. As for the space group: P6/mmm (191).

Unit cell a=4.3277 b=4.3277 c=8.9747 alpha=90.00 beta=90.00 gamma=120.00
With the nearest neighbours (Å) after each atom.
Fractional positions:
Ac (0.0000, 0.0000, 0.5000)  12 Ga 3.46
Pm (0.0000, 0.0000, 0.0000)  12 Ga 3.26
Ga (0.3333, 0.6667, 0.2333)  3 Ga 2.50
Ga (0.3333, 0.6667, 0.7667)  3 Ga 2.50
Ga (0.6667, 0.3333, 0.2333)  3 Ga 2.50
Ga (0.6667, 0.3333, 0.7667)  3 Ga 2.50

***

[12]
DFT (PBE) results for a relaxed AcPmGa2Pt2 crystal.

Output
As for the space group: P-3m1 (164).

Unit cell a=4.5062 b=4.5062 c=7.8691 alpha=90.00 beta=90.00 gamma=120.00
With the nearest neighbours (Å) after each atom.
Fractional positions:
Ac (0.0000, 0.0000, 0.0000)  6 Pt 3.37, 6 Ga 3.39
Pm (0.0000, 0.0000, 0.5000)  6 Ga 3.14, 6 Pt 3.16
Ga (0.6667, 0.3333, 0.2766)  3 Pt 2.60
Ga (0.3333, 0.6667, 0.7234)  3 Pt 2.60
Pt (0.6667, 0.3333, 0.7282)  3 Ga 2.60
Pt (0.3333, 0.6667, 0.2718)  3 Ga 2.60

***

Calculated total energy (eV per cell)
-12.35, -40.90, -25.88, -21.01, -24.77, -12.74, -42.24, -43.60, -23.92, -45.67, -24.95, -33.03
Energy of formation from the pure elements (eV per atom)
-0.1535, -0.4582, -0.3516, -0.3982, -0.6333, -0.2851, -0.4199, -0.5359, -0.4925, -0.2032, -0.6635, -1.0053